## YCrSi4 (PBE)

Data for a relaxed YCrSi4 crystal.

## Properties
The raw formation energy is 0.06 eV per atom.

Cell lengths 7.3265, 7.3265, 7.3265 Å; angles 90.00, 90.00, 90.00 degrees
Space group F-43m (No. 216)
Symmetry-distinct sites (fractional):
Y 0.0000 0.0000 0.0000 (multiplicity 4)
Cr 0.2500 0.2500 0.7500 (multiplicity 4)
Si 0.1233 0.1233 0.3767 (multiplicity 16)